The following is a DFT calculation (PBE) of Ce2Ge4Pd3Ru after structural relaxation.

abc: 4.2673 4.2673 10.3607
angles: 90.00 90.00 90.00
Last column: nearest neighbours and their distance in Å.
Fractional coordinates of all 10 atoms:
Ge (0.5000, 0.0000, 0.6290)  3 Pd 2.47-2.52, 2 Ru 2.52
Pd (0.0000, 0.0000, 0.5000)  4 Ge 2.52
Ge (0.0000, 0.0000, 0.0000)  4 Pd 2.54
Ge (0.0000, 0.5000, 0.3710)  3 Pd 2.47-2.52, 2 Ru 2.52
Ce (0.0000, 0.5000, 0.7511)  6 Pd 3.25-3.36, 8 Ge 3.27-3.35, 2 Ru 3.36
Ru (0.5000, 0.5000, 0.5000)  4 Ge 2.52
Pd (0.5000, 0.0000, 0.8672)  5 Ge 2.47-2.54
Pd (0.0000, 0.5000, 0.1328)  5 Ge 2.47-2.54
Ce (0.5000, 0.0000, 0.2489)  6 Pd 3.25-3.36, 8 Ge 3.27-3.35, 2 Ru 3.36
Ge (0.5000, 0.5000, 0.0000)  4 Pd 2.54

Output
Calculated volume   188.7 Å³ per cell
Energy relative to the elements   -0.73 eV per atom
Calculated total energy   -6.25 eV per atom
Fermi-level density of states   10.6 states/eV per cell

***

The following is a DFT calculation (PBE) of NiAs2Se after structural relaxation.

abc: 6.0549 6.0549 6.0549
angles: 146.88 140.84 52.20
Last column: nearest neighbours and their distance in Å.
Fractional coordinates of all 4 atoms:
As (0.0084, 0.0084, 0.0000)  2 As 2.62, 4 Ni 2.67, 2 Se 2.77
As (0.6611, 0.1611, 0.5000)  2 Ni 2.50, 2 As 2.62
Ni (0.4950, 0.4950, 0.0000)  2 Se 2.45, 6 As 2.50-2.67
Se (0.3354, 0.8354, 0.5000)  2 Ni 2.45

Output
Calculated volume   76.2 Å³ per cell
Calculated total energy   -4.55 eV per atom
Fermi-level density of states   3.1 states/eV per cell
Energy relative to the elements, uncorrected   9 kJ/mol of atoms

***

The following is a DFT calculation (PBE) of BaY2Sb2 after structural relaxation.

abc: 4.9032 4.9032 8.1055
angles: 72.39 72.39 90.00
Last column: nearest neighbours and their distance in Å.
Fractional coordinates of all 5 atoms:
Ba (0.0000, 0.0000, 0.0000)  8 Sb 3.89
Y (0.7500, 0.2500, 0.5000)  4 Sb 3.10, 4 Y 3.47
Y (0.2500, 0.7500, 0.5000)  4 Sb 3.10, 4 Y 3.47
Sb (0.3794, 0.3794, 0.2412)  4 Y 3.10
Sb (0.6206, 0.6206, 0.7588)  4 Y 3.10

Output
Calculated volume   176.1 Å³ per cell
Polymorph energy (0 for the lowest one)   0 meV/atom
Calculated total energy   -5.47 eV per atom
Fermi-level density of states   3.6 states/eV per cell
Energy relative to the elements, uncorrected   -82 kJ/mol of atoms

***

The following is a DFT calculation (PBE) of TaCdHg2 after structural relaxation.

abc: 3.0438 3.0438 8.8060
angles: 90.00 90.00 90.12
Last column: nearest neighbours and their distance in Å.
Fractional coordinates of all 4 atoms:
Ta (0.5000, 0.5000, 0.2500)  8 Hg 3.02, 4 Ta 3.04
Hg (0.0000, 0.0000, 0.4905)  4 Ta 3.02, 4 Hg 3.04, 4 Cd 3.14
Hg (0.0000, 0.0000, 0.0095)  4 Ta 3.02, 4 Hg 3.04, 4 Cd 3.14
Cd (0.5000, 0.5000, 0.7500)  4 Cd 3.04, 8 Hg 3.14

Output
Calculated volume   81.6 Å³ per cell
Energy relative to the elements   0.31 eV per atom
Calculated total energy   -3.04 eV per atom
Fermi-level density of states   2.5 states/eV per cell